1.
The following is a DFT calculation (PBE) of a geometry-optimized BaLi2Cl structure. Values from VASP.

Cell and atoms, written as Quantum ESPRESSO input:
```
&SYSTEM
  ibrav = 0, nat = 4, ntyp = 3
/
ATOMIC_SPECIES
Ba 137.33 Ba.upf
Cl 35.45 Cl.upf
Li 6.94 Li.upf
ATOMIC_POSITIONS crystal
Ba 0.5000 0.5000 0.2500
Cl 0.5000 0.5000 0.7500
Li 0.0000 0.0000 0.9090
Li 0.0000 0.0000 0.5910
CELL_PARAMETERS angstrom
-1.7084 -1.1455 3.3599
3.5120 -1.4145 -1.0883
4.3865 7.2683 4.7085
```

Crystal system: orthorhombic

2.
The following is a DFT calculation (PBE) of a geometry-optimized BaLi2Cl structure. Values from VASP.

Cell and atoms, written as Quantum ESPRESSO input:
```
&SYSTEM
  ibrav = 0, nat = 8, ntyp = 3
/
ATOMIC_SPECIES
Li 6.94 Li.upf
Ba 137.33 Ba.upf
Cl 35.45 Cl.upf
ATOMIC_POSITIONS crystal
Li 0.4113 0.1250 0.2500
Li 0.3387 0.6250 0.2500
Li 0.3750 0.5887 0.7500
Li 0.8750 0.6613 0.7500
Ba 0.0000 0.0000 0.0000
Ba 0.7500 0.2500 0.5000
Cl 0.5000 0.5000 0.0000
Cl 0.2500 0.7500 0.5000
CELL_PARAMETERS angstrom
7.6378 0.0000 0.0000
0.0000 7.6378 0.0000
3.8189 3.8189 5.3211
```

Crystal system: tetragonal

3.
The following is a DFT calculation (PBE) of a geometry-optimized BaLi2Cl structure. Values from VASP.

Cell and atoms, written as Quantum ESPRESSO input:
```
&SYSTEM
  ibrav = 0, nat = 4, ntyp = 3
/
ATOMIC_SPECIES
Ba 137.33 Ba.upf
Cl 35.45 Cl.upf
Li 6.94 Li.upf
ATOMIC_POSITIONS crystal
Ba 0.5000 0.0000 0.5000
Cl 0.0000 0.5000 0.5000
Li 0.0000 0.0000 0.0000
Li 0.5000 0.5000 0.0000
CELL_PARAMETERS angstrom
-6.3721 1.9056 -1.3187
3.2083 -5.5404 -2.2327
-1.3172 -2.1031 3.3260
```

Crystal system: orthorhombic

| no. | ΔE_f (raw) (eV per atom) | polymorph energy (0 for the lowest one) (meV per atom) |
| --- | --- | --- |
| 1 | -0.65 | 119 |
| 2 | -0.57 | 194 |
| 3 | -0.55 | 220 |